# 1
SmSc5Hg6 | PBE | optimized geometry

Properties
total DFT energy (no corrections)	-3.61	eV/atom
theoretical density	9.59	g cm⁻³
density of states at the Fermi level	12.342	states/eV/f.u.

a = 5.0108 Å, b = 7.2159 Å, c = 7.9606 Å
α = 90.00°, β = 108.21°, γ = 90.00°
Space group P2/m (No. 10)
One atom of each set of equivalent atoms:
Sm: 0.0000 0.0000 0.0000 (multiplicity 1)
Sc: 0.0000 0.5000 0.0000 (multiplicity 1)
Sc: 0.3301 0.0000 0.6591 (multiplicity 2)
Sc: 0.3382 0.5000 0.6745 (multiplicity 2)
Hg: 0.1710 0.2618 0.3443 (multiplicity 4)
Hg: 0.5000 0.2632 0.0000 (multiplicity 2)



# 2
Sm3Sc2Hg3 | PBE | optimized geometry

Properties
total DFT energy (no corrections)	-3.80	eV/atom
theoretical density	8.90	g cm⁻³
density of states at the Fermi level	11.955	states/eV/f.u.

a = 3.6749 Å, b = 5.2870 Å, c = 21.9414 Å
α = 90.00°, β = 90.00°, γ = 90.00°
Space group Immm (No. 71)
One atom of each set of equivalent atoms:
Sm: 0.0000 0.0000 0.0000 (multiplicity 2)
Sm: 0.0000 0.5000 0.1254 (multiplicity 4)
Sc: 0.0000 0.0000 0.2374 (multiplicity 4)
Hg: 0.0000 0.0000 0.5000 (multiplicity 2)
Hg: 0.0000 0.5000 0.3680 (multiplicity 4)



# 3
SmSc2Hg4 | PBE | optimized geometry

Properties
total DFT energy (no corrections)	-2.98	eV/atom
theoretical density	9.67	g cm⁻³
density of states at the Fermi level	5.213	states/eV/f.u.

a = 6.9205 Å, b = 10.4114 Å, c = 4.9681 Å
α = 90.00°, β = 90.00°, γ = 90.00°
Space group Cmmm (No. 65)
One atom of each set of equivalent atoms:
Sm: 0.0000 0.0000 0.0000 (multiplicity 2)
Sc: 0.0000 0.2530 0.5000 (multiplicity 4)
Hg: 0.2184 0.5000 0.5000 (multiplicity 4)
Hg: 0.2500 0.2500 0.0000 (multiplicity 4)



# 4
Sm2ScHg8 | PBE | optimized geometry

Properties
total DFT energy (no corrections)	-1.95	eV/atom
theoretical density	12.08	g cm⁻³
density of states at the Fermi level	5.834	states/eV/f.u.

a = 15.8012 Å, b = 5.0533 Å, c = 7.1643 Å
α = 90.00°, β = 110.33°, γ = 90.00°
Space group C2/m (No. 12)
One atom of each set of equivalent atoms:
Sm: 0.2085 0.0000 0.1622 (multiplicity 4)
Sc: 0.0000 0.5000 0.5000 (multiplicity 2)
Hg: 0.0168 0.0000 0.2330 (multiplicity 4)
Hg: 0.0981 0.5000 0.9330 (multiplicity 4)
Hg: 0.1547 0.0000 0.6650 (multiplicity 4)
Hg: 0.1588 0.5000 0.3854 (multiplicity 4)